[1]
VASP calculation (GGA-PBE) on LaPmTh2 after structural relaxation.

POSCAR file:
```
LaPmTh2
1.0
5.754 0.000 0.000
2.877 4.983 0.000
2.877 1.661 4.698
Th Pm La
2 1 1
direct
0.750 0.750 0.750
0.250 0.250 0.250
0.000 0.000 0.000
0.500 0.500 0.500
```

Summary:
Relative energy among the computed polymorphs = 198 meV per atom
E_form = 0.2238 eV/atom
Spin magnetization = 0.00 μB per cell

---

[2]
VASP calculation (GGA-PBE) on La2Pm5Th after structural relaxation.

POSCAR file:
```
La2Pm5Th
1.0
5.228 0.000 0.000
0.000 7.291 0.000
0.000 0.000 14.599
La Pm Th
4 10 2
direct
0.500 0.253 0.123
0.500 0.247 0.623
0.500 0.753 0.377
0.500 0.747 0.877
0.500 0.239 0.380
0.000 0.000 0.000
0.000 0.994 0.252
0.000 0.006 0.748
0.000 0.500 0.500
0.000 0.506 0.752
0.000 0.494 0.248
0.500 0.739 0.120
0.500 0.261 0.880
0.500 0.761 0.620
0.000 0.500 0.000
0.000 0.000 0.500
```

Summary:
E_form = 0.0323 eV/atom
Spin magnetization = 0.00 μB per cell

---

[3]
VASP calculation (GGA-PBE) on La4Pm6Th after structural relaxation.

POSCAR file:
```
La4Pm6Th
1.0
8.884 0.000 0.000
0.000 8.884 0.000
0.000 0.000 9.839
La Pm Th
8 12 2
direct
0.143 0.643 0.250
0.643 0.857 0.750
0.357 0.143 0.750
0.857 0.357 0.250
0.143 0.643 0.750
0.357 0.143 0.250
0.857 0.357 0.750
0.643 0.857 0.250
0.842 0.652 0.500
0.342 0.848 0.000
0.848 0.658 0.000
0.000 0.000 0.832
0.652 0.158 0.500
0.152 0.342 0.000
0.500 0.500 0.332
0.658 0.152 0.000
0.000 0.000 0.168
0.500 0.500 0.668
0.348 0.842 0.500
0.158 0.348 0.500
0.500 0.500 0.000
0.000 0.000 0.500
```

Summary:
E_form = 0.1445 eV/atom
Spin magnetization = 0.00 μB per cell